Record 1
Below is an optimized crystal structure of Li2TlBBr, with properties calculated at the PBE-GGA level.

Properties
Energy relative to the elements, uncorrected   1.05 eV per atom

Geometry as CIF:
```
data_Li2TlBBr
_chemical_formula_sum 'Li2 Tl1 B1 Br1'
_symmetry_space_group_name_H-M 'P 1'
_symmetry_Int_Tables_number 1
_cell_length_a 5.323
_cell_length_b 6.045
_cell_length_c 5.323
_cell_angle_alpha 90.00
_cell_angle_beta 90.00
_cell_angle_gamma 90.00
loop_
_symmetry_equiv_pos_as_xyz
'x,y,z'
loop_
_atom_site_label
_atom_site_fract_x
_atom_site_fract_y
_atom_site_fract_z
Br1 0.000 0.500 0.000
Li1 0.000 0.000 0.500
Li2 0.500 0.000 0.000
B1 0.500 0.500 0.500
Tl1 0.000 0.000 0.000
```

Record 2
Below is an optimized crystal structure of Ba6AgHg2N, with properties calculated at the PBE-GGA level.

Properties
Energy relative to the elements, uncorrected   -0.34 eV per atom

Geometry as CIF:
```
data_Ba6AgHg2N
_chemical_formula_sum 'Ba12 Ag2 Hg4 N2'
_symmetry_space_group_name_H-M 'P 1'
_symmetry_Int_Tables_number 1
_cell_length_a 8.048
_cell_length_b 8.680
_cell_length_c 11.654
_cell_angle_alpha 90.00
_cell_angle_beta 87.86
_cell_angle_gamma 90.00
loop_
_symmetry_equiv_pos_as_xyz
'x,y,z'
loop_
_atom_site_label
_atom_site_fract_x
_atom_site_fract_y
_atom_site_fract_z
Hg1 0.040 0.906 0.251
Ba1 0.344 0.714 0.447
Ba2 0.156 0.214 0.053
Ag1 0.000 0.500 0.500
Hg2 0.460 0.406 0.249
Ag2 0.500 0.000 0.000
Ba3 0.887 0.527 0.227
Ba4 0.844 0.786 0.947
Ba5 0.656 0.286 0.553
Hg3 0.960 0.094 0.749
Ba6 0.209 0.168 0.445
N1 0.500 0.000 0.500
Ba7 0.709 0.332 0.945
N2 0.000 0.500 0.000
Ba8 0.791 0.832 0.555
Ba9 0.291 0.668 0.055
Ba10 0.387 0.973 0.727
Ba11 0.113 0.473 0.773
Hg4 0.540 0.594 0.751
Ba12 0.613 0.027 0.273
```

Record 3
Below is an optimized crystal structure of CaGeN3, with properties calculated at the PBE-GGA level.

Properties
Energy relative to the elements, uncorrected   1.98 eV per atom

Geometry as CIF:
```
data_CaGeN3
_chemical_formula_sum 'Ca1 Ge1 N3'
_symmetry_space_group_name_H-M 'P 1'
_symmetry_Int_Tables_number 1
_cell_length_a 4.424
_cell_length_b 4.424
_cell_length_c 4.424
_cell_angle_alpha 90.00
_cell_angle_beta 90.00
_cell_angle_gamma 90.00
loop_
_symmetry_equiv_pos_as_xyz
'x,y,z'
loop_
_atom_site_label
_atom_site_fract_x
_atom_site_fract_y
_atom_site_fract_z
N1 0.500 0.000 0.000
N2 0.000 0.500 0.000
Ca1 0.000 0.000 0.000
N3 0.000 0.000 0.500
Ge1 0.500 0.500 0.500
```

Record 4
Below is an optimized crystal structure of NaLi2Tl2Hg5, with properties calculated at the PBE-GGA level.

Properties
Formation energy   -0.17 eV per atom

Geometry as CIF:
```
data_NaLi2Tl2Hg5
_chemical_formula_sum 'Na2 Li4 Tl4 Hg10'
_symmetry_space_group_name_H-M 'P 1'
_symmetry_Int_Tables_number 1
_cell_length_a 4.340
_cell_length_b 10.575
_cell_length_c 10.575
_cell_angle_alpha 90.00
_cell_angle_beta 90.00
_cell_angle_gamma 90.00
loop_
_symmetry_equiv_pos_as_xyz
'x,y,z'
loop_
_atom_site_label
_atom_site_fract_x
_atom_site_fract_y
_atom_site_fract_z
Li1 0.000 0.622 0.878
Hg1 0.500 0.577 0.701
Hg2 0.500 0.701 0.423
Li2 0.000 0.878 0.378
Hg3 0.500 0.423 0.299
Tl1 0.000 0.674 0.174
Hg4 0.500 0.201 0.077
Hg5 0.500 0.299 0.577
Li3 0.000 0.378 0.122
Hg6 0.500 0.799 0.923
Hg7 0.500 0.500 0.000
Na1 0.000 0.500 0.500
Tl2 0.000 0.174 0.326
Tl3 0.000 0.826 0.674
Tl4 0.000 0.326 0.826
Na2 0.000 0.000 0.000
Hg8 0.500 0.077 0.799
Hg9 0.500 0.000 0.500
Hg10 0.500 0.923 0.201
Li4 0.000 0.122 0.622
```

Record 5
Below is an optimized crystal structure of PaTlIrO6, with properties calculated at the PBE-GGA level.

Properties
Energy relative to the elements, uncorrected   -1.73 eV per atom

Geometry as CIF:
```
data_PaTlIrO6
_chemical_formula_sum 'Pa2 Tl2 Ir2 O12'
_symmetry_space_group_name_H-M 'P 1'
_symmetry_Int_Tables_number 1
_cell_length_a 5.473
_cell_length_b 5.473
_cell_length_c 9.928
_cell_angle_alpha 90.00
_cell_angle_beta 90.00
_cell_angle_gamma 120.00
loop_
_symmetry_equiv_pos_as_xyz
'x,y,z'
loop_
_atom_site_label
_atom_site_fract_x
_atom_site_fract_y
_atom_site_fract_z
O1 0.023 0.657 0.864
Ir1 0.667 0.333 0.250
O2 0.657 0.634 0.136
Tl1 0.000 0.000 0.500
Pa1 0.667 0.333 0.750
Tl2 0.000 0.000 0.000
Ir2 0.333 0.667 0.750
Pa2 0.333 0.667 0.250
O3 0.343 0.977 0.636
O4 0.634 0.977 0.864
O5 0.343 0.366 0.864
O6 0.634 0.657 0.636
O7 0.366 0.023 0.136
O8 0.657 0.023 0.364
O9 0.366 0.343 0.364
O10 0.023 0.366 0.636
O11 0.977 0.343 0.136
O12 0.977 0.634 0.364
```

Record 6
Below is an optimized crystal structure of Ta2MnNi2, with properties calculated at the PBE-GGA level.

Properties
Formation energy   -0.08 eV per atom

Geometry as CIF:
```
data_Ta2MnNi2
_chemical_formula_sum 'Ta4 Mn2 Ni4'
_symmetry_space_group_name_H-M 'P 1'
_symmetry_Int_Tables_number 1
_cell_length_a 6.646
_cell_length_b 6.646
_cell_length_c 3.268
_cell_angle_alpha 90.00
_cell_angle_beta 90.00
_cell_angle_gamma 90.00
loop_
_symmetry_equiv_pos_as_xyz
'x,y,z'
loop_
_atom_site_label
_atom_site_fract_x
_atom_site_fract_y
_atom_site_fract_z
Ni1 0.374 0.874 0.000
Ni2 0.126 0.374 0.000
Ta1 0.824 0.324 0.500
Ta2 0.676 0.824 0.500
Ta3 0.176 0.676 0.500
Ni3 0.874 0.626 0.000
Mn1 0.500 0.500 0.000
Ta4 0.324 0.176 0.500
Ni4 0.626 0.126 0.000
Mn2 0.000 0.000 0.000
```

Record 7
Below is an optimized crystal structure of AgTe2HI, with properties calculated at the PBE-GGA level.

Properties
Offset from the most stable computed form   0.554 eV/atom

Geometry as CIF:
```
data_AgTe2HI
_chemical_formula_sum 'Ag1 Te2 H1 I1'
_symmetry_space_group_name_H-M 'P 1'
_symmetry_Int_Tables_number 1
_cell_length_a 5.494
_cell_length_b 5.494
_cell_length_c 5.909
_cell_angle_alpha 90.00
_cell_angle_beta 90.00
_cell_angle_gamma 90.00
loop_
_symmetry_equiv_pos_as_xyz
'x,y,z'
loop_
_atom_site_label
_atom_site_fract_x
_atom_site_fract_y
_atom_site_fract_z
Te1 0.000 0.500 0.000
H1 0.500 0.500 0.500
Te2 0.500 0.000 0.000
Ag1 0.000 0.000 0.000
I1 0.000 0.000 0.500
```

Record 8
Below is an optimized crystal structure of Ca4Mg3Zn, with properties calculated at the PBE-GGA level.

Properties
Formation energy   -0.12 eV per atom

Geometry as CIF:
```
data_Ca4Mg3Zn
_chemical_formula_sum 'Ca4 Mg3 Zn1'
_symmetry_space_group_name_H-M 'P 1'
_symmetry_Int_Tables_number 1
_cell_length_a 3.742
_cell_length_b 3.742
_cell_length_c 16.839
_cell_angle_alpha 90.00
_cell_angle_beta 90.00
_cell_angle_gamma 90.00
loop_
_symmetry_equiv_pos_as_xyz
'x,y,z'
loop_
_atom_site_label
_atom_site_fract_x
_atom_site_fract_y
_atom_site_fract_z
Ca1 0.000 0.000 0.107
Mg1 0.500 0.500 0.760
Zn1 0.500 0.500 0.000
Mg2 0.500 0.500 0.500
Ca2 0.000 0.000 0.630
Ca3 0.000 0.000 0.893
Ca4 0.000 0.000 0.370
Mg3 0.500 0.500 0.240
```

Going through the records in order, we get V values of 171.3, 813.5, 86.6, 485.4, 257.5, 144.3, 178.3, 235.8 Å³/cell.
Going through the records in order, we get E values of -1.86, -2.67, -4.34, -1.31, -7.34, -8.97, -1.96, -1.88 eV/atom.